Entry from Alexandria: a relaxed structure of La2Tc3 (PBE).

Geometry as POSCAR:
```
La2Tc3
1.0
0.0000 7.2855 3.0219
5.2194 0.0000 3.0219
5.2194 7.2855 0.0000
La Tc
4 6
direct
0.2155 0.7845 0.3796
0.6296 0.8704 0.4655
0.7845 0.2155 0.6204
0.8704 0.6296 0.0345
0.2184 0.3011 0.0280
0.2220 0.7975 0.0316
0.2375 0.2375 0.7625
0.3011 0.2184 0.4525
0.4875 0.4875 0.0125
0.7975 0.2220 0.9489
```

Its formation energy from the elements is 0.072 eV/atom. For the uncorrected energy, the calculation gives -81.18 eV per cell. The value obtained for the volume is 114.9 Å³/f.u.